Entry 1:
First-principles (GGA-PBE) data for a geometry-optimized ScHg2Pt structure, as listed in Alexandria.

Computed properties:
The calculation puts the total moment at 0.00 μB per atom. Its crystal system is tetragonal. The value obtained for the density of states at the Fermi level is 2.01 states/eV/f.u. As for the energy above the lowest structure with this stoichiometry: 72.5 meV per atom.

Cell: 5.0030 5.0030 5.0030 Å, 126.37 126.37 79.28°
Sites, in units of the cell vectors:
Hg (0.0000, 0.0000, 0.0000)
Hg (0.2500, 0.7500, 0.5000)
Pt (0.5000, 0.5000, 0.0000)
Sc (0.7500, 0.2500, 0.5000)

Entry 2:
First-principles (GGA-PBE) data for a geometry-optimized ScHgPt3 structure, as listed in Alexandria.

Computed properties:
The calculation puts the total moment at 0.00 μB per atom. Its crystal system is cubic. The value obtained for the density of states at the Fermi level is 3.15 states/eV/f.u. As for the energy above the lowest structure with this stoichiometry: 249.8 meV per atom.

Cell: 4.9727 4.9727 4.9727 Å, 90.00 90.00 90.00°
Sites, in units of the cell vectors:
Sc (0.5000, 0.5000, 0.5000)
Hg (0.0000, 0.0000, 0.0000)
Pt (0.0000, 0.5000, 0.0000)
Pt (0.0000, 0.0000, 0.5000)
Pt (0.5000, 0.0000, 0.0000)

Entry 3:
First-principles (GGA-PBE) data for a geometry-optimized ScHg2Pt structure, as listed in Alexandria.

Computed properties:
The calculation puts the total moment at 0.00 μB per atom. Its crystal system is monoclinic. The value obtained for the density of states at the Fermi level is 1.99 states/eV/f.u. As for the energy above the lowest structure with this stoichiometry: 158.6 meV per atom.

Cell: 5.1290 3.8423 4.3191 Å, 89.38 90.00 90.00°
Sites, in units of the cell vectors:
Hg (0.0000, 0.0066, 0.0039)
Hg (0.0000, 0.4934, 0.4961)
Pt (0.5000, 0.2500, 0.2500)
Sc (0.5000, 0.7500, 0.7500)

Entry 4:
First-principles (GGA-PBE) data for a geometry-optimized ScHgPt structure, as listed in Alexandria.

Computed properties:
The calculation puts the total moment at 0.00 μB per atom. Its crystal system is tetragonal. As for the final energy: -5.007 eV/atom. The value obtained for the density of states at the Fermi level is 0.46 states/eV/f.u.

Cell: 5.1945 5.1945 3.5357 Å, 70.10 70.10 39.79°
Sites, in units of the cell vectors:
Sc (0.3196, 0.3196, 0.6804)
Hg (0.0007, 0.0007, 0.9993)
Pt (0.6796, 0.6797, 0.3204)

Entry 5:
First-principles (GGA-PBE) data for a geometry-optimized Sc2Hg2Pt structure, as listed in Alexandria.

Computed properties:
The calculation puts the total moment at 0.00 μB per atom. Its crystal system is orthorhombic. The value obtained for the density of states at the Fermi level is 3.95 states/eV/f.u. As for the energy above the lowest structure with this stoichiometry: 0.0 meV per atom.

Cell: 3.2549 3.3384 9.9137 Å, 80.31 90.00 90.00°
Sites, in units of the cell vectors:
Sc (0.5000, 0.4161, 0.1678)
Sc (0.5000, 0.5839, 0.8322)
Hg (0.0000, 0.1868, 0.6264)
Hg (0.0000, 0.8132, 0.3736)
Pt (0.0000, 0.0000, 0.0000)

Entry 6:
First-principles (GGA-PBE) data for a geometry-optimized Sc6Hg3Pt structure, as listed in Alexandria.

Computed properties:
The calculation puts the total moment at 0.00 μB per atom. Its crystal system is monoclinic. As for the final energy: -5.013 eV/atom. The value obtained for the density of states at the Fermi level is 8.14 states/eV/f.u.

Cell: 4.8267 8.8581 10.9131 Å, 110.89 90.00 90.00°
Sites, in units of the cell vectors:
Sc (0.2500, 0.4726, 0.0922)
Sc (0.7500, 0.5274, 0.9078)
Sc (0.2500, 0.1238, 0.1588)
Sc (0.7500, 0.8762, 0.8412)
Sc (0.2500, 0.6571, 0.6854)
Sc (0.7500, 0.3429, 0.3146)
Sc (0.2500, 0.2510, 0.4838)
Sc (0.7500, 0.7490, 0.5162)
Sc (0.2500, 0.8833, 0.3580)
Sc (0.7500, 0.1167, 0.6420)
Sc (0.2500, 0.1140, 0.8649)
Sc (0.7500, 0.8860, 0.1351)
Hg (0.2500, 0.5372, 0.3774)
Hg (0.7500, 0.4628, 0.6226)
Hg (0.2500, 0.3741, 0.7741)
Hg (0.7500, 0.6259, 0.2259)
Hg (0.2500, 0.7757, 0.9768)
Hg (0.7500, 0.2243, 0.0232)
Pt (0.2500, 0.9149, 0.6206)
Pt (0.7500, 0.0851, 0.3794)